# 1
# Pm2CoRh, optimized geometry, DFT PBE
# E_tot ... -6.371 eV/atom
data_Pm2CoRh
_symmetry_space_group_name_H-M 'P 1 21/m 1'
_symmetry_Int_Tables_number 11
_cell_length_a 5.8040
_cell_length_b 4.0271
_cell_length_c 8.0154
_cell_angle_alpha 90.00
_cell_angle_beta 110.22
_cell_angle_gamma 90.00
loop_
_symmetry_equiv_pos_as_xyz
'x,y,z'
'-x,-y,-z'
'-x,y+1/2,-z'
'x,-y+1/2,z'
loop_
_atom_site_label
_atom_site_fract_x
_atom_site_fract_y
_atom_site_fract_z
_atom_site_occupancy
Pm1 0.2128 0.2500 0.4325 1
Pm2 0.2136 0.2500 0.9240 1
Co1 0.3548 0.7500 0.7136 1
Rh1 0.3554 0.7500 0.2136 1



# 2
# Pm6Co2Rh, optimized geometry, DFT PBE
# E_tot ... -5.779 eV/atom
data_Pm6Co2Rh
_symmetry_space_group_name_H-M 'I m m m'
_symmetry_Int_Tables_number 71
_symmetry_space_group_name_Hall '-I 2 2'
_cell_length_a 9.5850
_cell_length_b 9.6959
_cell_length_c 9.7699
_cell_angle_alpha 90.00
_cell_angle_beta 90.00
_cell_angle_gamma 90.00
loop_
_atom_site_label
_atom_site_fract_x
_atom_site_fract_y
_atom_site_fract_z
_atom_site_occupancy
Pm1 0.0000 0.1823 0.1737 1
Pm2 0.1771 0.2308 0.5000 1
Pm3 0.1829 0.5000 0.2482 1
Co1 0.0000 0.0000 0.3869 1
Co2 0.1711 0.0000 0.0000 1
Rh1 0.0000 0.5000 0.0000 1
Rh2 0.0000 0.5000 0.5000 1



# 3
# PmCo4Rh, optimized geometry, DFT PBE
# E_tot ... -6.774 eV/atom
data_PmCo4Rh
_symmetry_space_group_name_H-M 'F -4 3 m'
_symmetry_Int_Tables_number 216
_symmetry_space_group_name_Hall 'F -4 2 3'
_cell_length_a 7.0130
_cell_length_b 7.0130
_cell_length_c 7.0130
_cell_angle_alpha 90.00
_cell_angle_beta 90.00
_cell_angle_gamma 90.00
loop_
_atom_site_label
_atom_site_fract_x
_atom_site_fract_y
_atom_site_fract_z
_atom_site_occupancy
Pm1 0.0000 0.0000 0.0000 1
Co1 0.1244 0.1244 0.3756 1
Rh1 0.2500 0.2500 0.7500 1



Question: Among the records above, which one has the lowest E_tot?
Answer: PmCo4Rh



Question: Look up the E_tot of the second one.
Answer: -5.779 eV/atom